(1)
InSn2Ir | PBE | relaxed

Computed properties:
calculated volume: 103 Å³ per cell
energy of formation: 0.026 eV/atom
total moment: 0.00 μB/f.u.
SG: R-3m (166)

Lattice parameters (Å, degrees): 3.5732 3.5732 9.5055 79.17 79.17 60.00
Fractional positions:
Sn  0.1054  0.1054  0.6839
Sn  0.8946  0.8946  0.3161
Ir  0.5000  0.5000  0.5000
In  0.0000  0.0000  0.0000


(2)
BaLiBiTe3 | PBE | relaxed

Computed properties:
calculated volume: 427 Å³ per cell
total moment: 0.00 μB/f.u.
SG: P2_1/m (11)
energy: -45.5 eV per cell

Lattice parameters (Å, degrees): 4.6153 9.5085 10.0589 104.61 90.00 90.00
Fractional positions:
Li  0.7500  0.9131  0.4070
Te  0.2500  0.7852  0.4805
Li  0.2500  0.0869  0.5930
Te  0.2500  0.1070  0.8795
Ba  0.7500  0.8055  0.7490
Te  0.2500  0.5530  0.8329
Bi  0.7500  0.3257  0.8460
Bi  0.2500  0.6743  0.1540
Te  0.7500  0.8930  0.1205
Te  0.7500  0.2148  0.5195
Te  0.7500  0.4470  0.1671
Ba  0.2500  0.1945  0.2510


(3)
La2Ga3Sn | PBE | relaxed

Computed properties:
calculated volume: 304 Å³ per cell
energy of formation: -0.694 eV/atom
total moment: 0.00 μB/f.u.
SG: Fmmm (69)

Lattice parameters (Å, degrees): 6.2871 6.2871 8.8760 110.71 110.71 90.09
Fractional positions:
La  0.7479  0.2521  0.0000
Ga  0.1599  0.1599  0.8391
La  0.2500  0.7500  0.5000
Ga  0.8399  0.8399  0.6797
Ga  0.6792  0.6792  0.8391
Sn  0.6672  0.6672  0.3344
Sn  0.3328  0.3328  0.6656
Ga  0.3208  0.3208  0.1609
Ga  0.8401  0.8401  0.1609
Ga  0.1601  0.1601  0.3203
La  0.7500  0.2500  0.5000
La  0.2521  0.7479  0.0000


(4)
CsCu2Rh2 | PBE | relaxed

Computed properties:
calculated volume: 179 Å³ per cell
energy of formation: 0.632 eV/atom
energy above the lowest structure with this stoichiometry: 0.00 eV/f.u.
total moment: 0.01 μB/f.u.
SG: P4/mbm (127)

Lattice parameters (Å, degrees): 7.7147 7.7147 3.0144 90.00 90.00 90.00
Fractional positions:
Cu  0.6608  0.8392  0.5000
Rh  0.6236  0.1236  0.0000
Rh  0.3764  0.8764  0.0000
Cu  0.8392  0.3392  0.5000
Rh  0.8764  0.6236  0.0000
Rh  0.1236  0.3764  0.0000
Cu  0.3392  0.1608  0.5000
Cs  0.5000  0.5000  0.0000
Cs  0.0000  0.0000  0.0000
Cu  0.1608  0.6608  0.5000


(5)
SrCaZnNi | PBE | relaxed

Computed properties:
calculated volume: 99 Å³ per cell
energy of formation: -0.012 eV/atom
energy above the lowest structure with this stoichiometry: 0.73 eV/f.u.
total moment: 0.00 μB/f.u.
SG: F-43m (216)

Lattice parameters (Å, degrees): 5.1850 5.1850 5.1850 60.00 60.00 60.00
Fractional positions:
Sr  0.5000  0.5000  0.5000
Ni  0.2500  0.2500  0.2500
Ca  0.0000  0.0000  0.0000
Zn  0.7500  0.7500  0.7500


(6)
CrAsRu2 | PBE | relaxed

Computed properties:
calculated volume: 55 Å³ per cell
energy of formation: 0.206 eV/atom
total moment: 0.56 μB/f.u.
SG: Pmmm (47)

Lattice parameters (Å, degrees): 2.9135 4.4729 4.2489 90.00 90.00 90.00
Site moments in Bohr magnetons follow the coordinates.
Fractional positions:
Cr  0.0000  0.5000  0.5000  0.85
Ru  0.0000  0.0000  0.0000  -0.23
Ru  0.5000  0.5000  0.0000  -0.05
As  0.5000  0.0000  0.5000  -0.03